An optimized crystal structure of Cs3LaV, computed with GGA-PBE.

Cell: 7.079 7.079 7.079 Å, 90.00 90.00 90.00°
Last column: magnetic moment on the atom in μB.
Element x y z (fractional)
Cs: 0.000 0.500 0.000  0.03
Cs: 0.000 0.000 0.500  0.03
Cs: 0.500 0.000 0.000  0.03
La: 0.500 0.500 0.500  -0.70
V: 0.000 0.000 0.000  3.32

Output
DFT total energy: -2.048 eV/atom
DOS(E_F): 2.5033 states/eV/atom
Symmetry: Pm-3m (221)
Calculated formation energy: 1.27 eV per atom